[1]
{"formula": "Tm2GaRu", "functional": "GGA-PBE", "state": "optimized geometry", "delta_e_f_mev_per_atom": -578, "sg": "P4/mmm, No. 123", "total_energy_ev_per_atom": -5.889, "cell": [[3.4337, 0.0000, 0.0000], [0.0000, 3.4337, 0.0000], [0.0000, 0.0000, 6.9611]], "species": ["Ru", "Tm", "Tm", "Ga"], "fractional_positions": [[0.5000, 0.5000, 0.0000], [0.0000, 0.0000, 0.7665], [0.0000, 0.0000, 0.2335], [0.5000, 0.5000, 0.5000]]}


[2]
{"formula": "Tm2GaRu", "functional": "GGA-PBE", "state": "optimized geometry", "delta_e_f_mev_per_atom": -506, "sg": "Fm-3m, No. 225", "total_energy_ev_per_atom": -5.818, "cell": [[4.8621, 0.0000, 0.0000], [2.4310, 4.2107, 0.0000], [2.4310, 1.4036, 3.9699]], "species": ["Ru", "Tm", "Tm", "Ga"], "fractional_positions": [[0.7500, 0.7500, 0.7500], [0.5000, 0.5000, 0.5000], [0.0000, 0.0000, 0.0000], [0.2500, 0.2500, 0.2500]]}


[3]
{"formula": "Tm3Ga4Ru2", "functional": "GGA-PBE", "state": "optimized geometry", "relative_energy_kj_per_mol_fu": 0, "delta_e_f_mev_per_atom": -586, "sg": "C2/m, No. 12", "total_energy_ev_per_atom": -5.483, "cell": [[-3.3256, 0.9549, -2.6550], [-4.9103, -1.9066, 1.8829], [-4.3554, 6.0826, 4.0610]], "species": ["Tm", "Tm", "Tm", "Ga", "Ga", "Ga", "Ga", "Ru", "Ru"], "fractional_positions": [[0.3642, 0.5820, 0.6897], [0.0000, 0.0000, 0.0000], [0.6358, 0.4180, 0.3103], [0.2821, 0.3651, 0.0707], [0.7179, 0.6349, 0.9293], [0.0869, 0.2265, 0.5998], [0.9131, 0.7735, 0.4002], [0.3177, 0.0101, 0.3544], [0.6823, 0.9899, 0.6456]]}


[4]
{"formula": "Tm3Ga7Ru2", "functional": "GGA-PBE", "state": "optimized geometry", "delta_e_f_mev_per_atom": -358, "sg": "Cmmm, No. 65", "total_energy_ev_per_atom": -4.788, "cell": [[-3.5778, -2.3346, 1.6803], [2.3114, -0.7193, 3.9224], [-5.4377, 10.0120, 2.3323]], "species": ["Tm", "Tm", "Tm", "Ga", "Ga", "Ga", "Ga", "Ga", "Ga", "Ga", "Ru", "Ru"], "fractional_positions": [[0.5000, 0.5000, 0.0000], [0.5000, 0.6811, 0.3623], [0.5000, 0.3189, 0.6377], [0.0000, 0.4119, 0.8238], [0.0000, 0.7797, 0.5594], [0.0000, 0.0000, 0.0000], [0.0000, 0.5881, 0.1762], [0.5000, 0.0874, 0.1748], [0.5000, 0.9126, 0.8252], [0.0000, 0.2203, 0.4406], [0.0000, 0.8876, 0.7752], [0.0000, 0.1124, 0.2248]]}


[5]
{"formula": "TmGa2Ru2", "functional": "GGA-PBE", "state": "optimized geometry", "relative_energy_kj_per_mol_fu": 17, "delta_e_f_mev_per_atom": -423, "sg": "I4/mmm, No. 139", "total_energy_ev_per_atom": -6.238, "cell": [[-2.4874, 1.9299, -2.4197], [-0.0666, -3.1369, -2.4335], [-7.4537, -3.5831, 8.0623]], "species": ["Tm", "Tm", "Ga", "Ga", "Ga", "Ga", "Ru", "Ru", "Ru", "Ru"], "fractional_positions": [[0.6293, 0.6293, 0.2587], [0.3707, 0.3707, 0.7413], [0.0000, 0.5000, 0.0000], [0.1794, 0.1794, 0.3588], [0.5000, 0.0000, 0.0000], [0.8206, 0.8206, 0.6412], [0.7500, 0.2500, 0.5000], [0.9320, 0.9320, 0.8639], [0.0680, 0.0680, 0.1361], [0.2500, 0.7500, 0.5000]]}


[6]
{"formula": "TmGa2Ru3", "functional": "GGA-PBE", "state": "optimized geometry", "delta_e_f_mev_per_atom": -294, "sg": "P6/mmm, No. 191", "total_energy_ev_per_atom": -6.686, "cell": [[4.0160, 0.0000, 0.0000], [0.0000, 4.7059, -2.7092], [0.0000, -0.0064, 5.4291]], "species": ["Tm", "Ga", "Ga", "Ru", "Ru", "Ru"], "fractional_positions": [[0.0000, 0.0012, 0.0000], [0.0000, 0.3345, 0.6666], [0.0000, 0.6680, 0.3334], [0.5000, 0.0012, 0.5000], [0.5000, 0.5013, 0.5000], [0.5000, 0.5013, 0.0000]]}


[7]
{"formula": "Tm4Ga3Ru", "functional": "GGA-PBE", "state": "optimized geometry", "relative_energy_kj_per_mol_fu": 0, "delta_e_f_mev_per_atom": -578, "sg": "P4/mmm, No. 123", "total_energy_ev_per_atom": -5.108, "cell": [[-1.1475, 0.5959, 3.2119], [-3.2134, 0.4067, -1.2235], [-2.4018, -13.8358, 1.7090]], "species": ["Ru", "Tm", "Tm", "Tm", "Tm", "Ga", "Ga", "Ga"], "fractional_positions": [[0.5000, 0.5000, 0.0000], [0.0000, 0.0000, 0.8865], [0.0000, 0.0000, 0.1135], [0.0000, 0.0000, 0.3707], [0.0000, 0.0000, 0.6293], [0.5000, 0.5000, 0.2436], [0.5000, 0.5000, 0.5000], [0.5000, 0.5000, 0.7564]]}


[8]
{"formula": "Tm7Ga2Ru2", "functional": "GGA-PBE", "state": "optimized geometry", "delta_e_f_mev_per_atom": -303, "sg": "Cmmm, No. 65", "total_energy_ev_per_atom": -5.386, "cell": [[6.4687, -0.0029, -0.9103], [0.0035, 6.9677, 0.0027], [-1.3116, -0.0018, 6.3994]], "species": ["Tm", "Tm", "Tm", "Tm", "Tm", "Tm", "Tm", "Ga", "Ga", "Ru", "Ru"], "fractional_positions": [[0.0000, 0.2626, 0.5000], [0.5000, 0.7374, 0.0000], [0.0000, 0.7374, 0.5000], [0.5000, 0.2626, 0.0000], [0.0000, 0.0000, 0.0000], [0.5000, 0.7471, 0.5000], [0.5000, 0.2529, 0.5000], [0.8304, 0.5000, 0.8304], [0.1696, 0.5000, 0.1696], [0.6999, 0.0000, 0.3001], [0.3001, 0.0000, 0.6999]]}